## FePt2F (GGA+U)

Data for an optimized crystal structure of FePt2F.

Results
Total DFT energy (no corrections), eV per cell: -38.936
Relative energy among the computed polymorphs, meV per atom: 93
Theoretical density, Mg/m³: 12.52
V, Å³ per cell: 123

a = 6.854 Å, b = 6.854 Å, c = 5.512 Å
α = 51.56°, β = 51.56°, γ = 90.00°
Each line ends with the local moment (μB).
Sites, in units of the cell vectors:
Fe1 0.000 0.000 0.000  3.88
Fe2 0.750 0.250 0.500  3.88
Pt1 0.620 0.125 0.250  0.27
Pt2 0.130 0.625 0.250  0.28
Pt3 0.375 0.380 0.750  0.26
Pt4 0.875 0.870 0.750  0.26
F1 0.500 0.500 0.000  0.02
F2 0.250 0.750 0.500  0.03